1.
This record from Alexandria via LeMat-Bulk describes a geometry-optimized Nd2HoPb structure. The functional is PBE.

## Properties
Total magnetization: 0.03 μB per cell
DOS(E_F): 1.7310 states/eV per atom
Energy of formation: 0.06 eV per atom
Crystal system: trigonal
Uncorrected energy: -4.393 eV/atom
Polymorph energy (0 for the lowest one): 374 meV/atom
Volume: 131.2 Å³ per cell

Cell and atoms, written as POSCAR:
```
Nd2HoPb
1.0
3.530 0.000 0.000
1.765 3.057 0.000
1.765 1.019 12.165
Pb Nd Ho
1 2 1
direct
0.500 0.500 0.500 Pb
0.091 0.091 0.727 Nd
0.909 0.909 0.273 Nd
0.000 0.000 0.000 Ho
```

***

2.
This record from Alexandria via LeMat-Bulk describes a geometry-optimized AlSbRh2 structure. The functional is PBE.

## Properties
Total magnetization: 0.00 μB per cell
DOS(E_F): 0.5863 states/eV per atom
Crystal system: trigonal
Uncorrected energy: -6.049 eV/atom
Volume: 65.9 Å³ per cell
Formation energy from raw total energies: -407 meV per atom

Cell and atoms, written as POSCAR:
```
AlSbRh2
1.0
8.145 0.007 0.004
7.554 3.045 0.004
7.554 1.469 2.668
Sb Rh Al
1 2 1
direct
0.250 0.250 0.250 Sb
0.004 0.004 0.004 Rh
0.496 0.496 0.496 Rh
0.750 0.750 0.750 Al
```

***

3.
This record from Alexandria via LeMat-Bulk describes a geometry-optimized MoPBrCl2 structure. The functional is PBE.

## Properties
Total magnetization: 3.67 μB per cell
DOS(E_F): 0.7133 states/eV per atom
Crystal system: tetragonal
Uncorrected energy: -3.002 eV/atom
Polymorph energy (0 for the lowest one): 1302 meV/atom
Volume: 131.3 Å³ per cell
Formation energy from raw total energies: 1320 meV per atom

Cell and atoms, written as POSCAR:
```
MoPBrCl2
1.0
5.012 0.000 0.000
0.000 5.012 0.000
0.000 0.000 5.225
P Mo Br Cl
1 1 1 2
direct
0.000 0.000 0.500 P
0.500 0.500 0.500 Mo
0.000 0.000 0.000 Br
0.000 0.500 0.000 Cl
0.500 0.000 0.000 Cl
```

***

4.
This record from Alexandria via LeMat-Bulk describes a geometry-optimized CdMo2As structure. The functional is PBE.

## Properties
Total magnetization: 0.00 μB per cell
DOS(E_F): 0.5612 states/eV per atom
Energy of formation: 0.34 eV per atom
Crystal system: monoclinic
Uncorrected energy: -6.469 eV/atom
Polymorph energy (0 for the lowest one): 192 meV/atom
Volume: 70.7 Å³ per cell

Cell and atoms, written as POSCAR:
```
CdMo2As
1.0
4.549 0.000 0.000
0.000 2.997 0.013
0.000 1.419 5.195
Mo As Cd
2 1 1
direct
0.000 0.054 0.046 Mo
0.500 0.398 0.258 Mo
0.000 0.352 0.458 As
0.500 0.696 0.738 Cd
```

***

5.
This record from Alexandria via LeMat-Bulk describes a geometry-optimized U2Fe12Si7 structure. The functional is PBE.

## Properties
Total magnetization: 2.42 μB per cell
DOS(E_F): 1.0043 states/eV per atom
Crystal system: hexagonal
Uncorrected energy: -8.092 eV/atom
Volume: 265.2 Å³ per cell
Formation energy from raw total energies: -374 meV per atom

Cell and atoms, written as POSCAR:
```
U2Fe12Si7
1.0
-3.091 0.033 1.988
3.990 -5.277 6.290
0.526 9.089 0.668
U Fe Si
2 12 7
direct
0.500 0.000 0.000 U
0.000 0.667 0.333 U
0.500 0.904 0.607 Fe
0.500 0.703 0.096 Fe
0.500 0.393 0.297 Fe
0.500 0.231 0.776 Fe
0.500 0.545 0.769 Fe
0.500 0.224 0.455 Fe
0.000 0.049 0.532 Fe
0.000 0.483 0.951 Fe
0.000 0.468 0.517 Fe
0.000 0.776 0.730 Fe
0.000 0.954 0.224 Fe
0.000 0.270 0.046 Fe
0.000 0.333 0.667 Si
0.000 0.050 0.779 Si
0.000 0.730 0.950 Si
0.000 0.221 0.270 Si
0.500 0.635 0.569 Si
0.500 0.933 0.365 Si
0.500 0.431 0.067 Si
```

***

6.
This record from Alexandria via LeMat-Bulk describes a geometry-optimized PmNd2DyP4 structure. The functional is PBE.

## Properties
Total magnetization: 0.00 μB per cell
DOS(E_F): 0.0807 states/eV per atom
Energy of formation: -1.56 eV per atom
Crystal system: monoclinic
Uncorrected energy: -6.623 eV/atom
Volume: 197.7 Å³ per cell

Cell and atoms, written as POSCAR:
```
PmNd2DyP4
1.0
-0.484 -3.857 -1.370
6.983 -1.181 0.857
-3.452 -1.700 6.005
Pm Nd Dy P
1 2 1 4
direct
0.500 0.500 0.000 Pm
0.500 0.000 0.500 Nd
0.000 0.500 0.500 Nd
0.000 0.000 0.000 Dy
0.500 0.244 0.243 P
0.500 0.756 0.757 P
0.000 0.248 0.755 P
0.000 0.752 0.245 P
```

***

7.
This record from Alexandria via LeMat-Bulk describes a geometry-optimized ThScSbTe structure. The functional is PBE.

## Properties
Total magnetization: 0.88 μB per cell
DOS(E_F): 0.9518 states/eV per atom
Crystal system: cubic
Uncorrected energy: -6.107 eV/atom
Volume: 106.3 Å³ per cell
Formation energy from raw total energies: -853 meV per atom

Cell and atoms, written as POSCAR:
```
ThScSbTe
1.0
-3.553 -0.316 3.943
-5.073 -1.173 -1.080
-1.995 -4.723 1.410
Sc Sb Te Th
1 1 1 1
direct
0.250 0.250 0.250 Sc
0.500 0.500 0.500 Sb
0.000 0.000 0.000 Te
0.750 0.750 0.750 Th
```

***

8.
This record from Alexandria via LeMat-Bulk describes a geometry-optimized Pr2Ga4NiPd3 structure. The functional is PBE.

## Properties
Total magnetization: 0.00 μB per cell
DOS(E_F): 0.8960 states/eV per atom
Energy of formation: -0.73 eV per atom
Crystal system: tetragonal
Uncorrected energy: -5.029 eV/atom
Volume: 192.6 Å³ per cell

Cell and atoms, written as POSCAR:
```
Pr2Ga4NiPd3
1.0
4.428 0.000 0.000
0.000 4.428 0.000
0.000 0.000 9.825
Pr Ga Ni Pd
2 4 1 3
direct
0.500 0.000 0.256 Pr
0.000 0.500 0.744 Pr
0.500 0.500 0.000 Ga
0.000 0.000 0.000 Ga
0.500 0.000 0.616 Ga
0.000 0.500 0.384 Ga
0.500 0.500 0.500 Ni
0.000 0.000 0.500 Pd
0.500 0.000 0.870 Pd
0.000 0.500 0.130 Pd
```

***

> What is the DOS(E_F) in the fifth record?

1.0043 states/eV per atom

***

> Which value of DOS(E_F) does entry 6 give?

0.0807 states/eV per atom

***

> Among the records above, which one has the highest uncorrected energy?

MoPBrCl2

***

Copy entry 3 word for word.
This record from Alexandria via LeMat-Bulk describes a geometry-optimized MoPBrCl2 structure. The functional is PBE.

## Properties
Total magnetization: 3.67 μB per cell
DOS(E_F): 0.7133 states/eV per atom
Crystal system: tetragonal
Uncorrected energy: -3.002 eV/atom
Polymorph energy (0 for the lowest one): 1302 meV/atom
Volume: 131.3 Å³ per cell
Formation energy from raw total energies: 1320 meV per atom

Cell and atoms, written as POSCAR:
```
MoPBrCl2
1.0
5.012 0.000 0.000
0.000 5.012 0.000
0.000 0.000 5.225
P Mo Br Cl
1 1 1 2
direct
0.000 0.000 0.500 P
0.500 0.500 0.500 Mo
0.000 0.000 0.000 Br
0.000 0.500 0.000 Cl
0.500 0.000 0.000 Cl
```